No. 1
Compound: AgHPd2Au
Source: Alexandria via LeMat-Bulk
Functional: PBE
Structure: relaxed

Properties
- Uncorrected energy: -20.20 eV per cell
- Excess energy over the best structure of this formula in the dataset: 0.0 meV per atom

Cell and atoms, written as POSCAR:
```
AgHPd2Au
1.0
-0.462 -0.183 -4.004
1.387 -3.789 0.013
-3.943 -1.442 0.521
H Au Pd Ag
1 1 2 1
Direct
0.000 0.000 0.000 H
0.500 0.500 0.500 Au
0.000 0.500 0.000 Pd
0.500 0.000 0.000 Pd
0.000 0.000 0.500 Ag
```

***

No. 2
Compound: AgHPdAu2
Source: Alexandria via LeMat-Bulk
Functional: PBE
Structure: relaxed

Properties
- Uncorrected energy: -17.26 eV per cell
- Excess energy over the best structure of this formula in the dataset: 122.4 meV per atom

Cell and atoms, written as POSCAR:
```
AgHPdAu2
1.0
4.108 0.000 0.000
0.000 4.108 0.000
0.000 0.000 4.282
H Au Pd Ag
1 2 1 1
Direct
0.000 0.000 0.000 H
0.000 0.500 0.000 Au
0.500 0.000 0.000 Au
0.500 0.500 0.500 Pd
0.000 0.000 0.500 Ag
```

***

No. 3
Compound: AgHPd2Au
Source: Alexandria via LeMat-Bulk
Functional: PBE
Structure: relaxed

Properties
- Uncorrected energy: -20.12 eV per cell
- Excess energy over the best structure of this formula in the dataset: 15.8 meV per atom

Cell and atoms, written as POSCAR:
```
AgHPd2Au
1.0
4.057 0.000 0.000
0.000 4.057 0.000
0.000 0.000 4.189
H Au Pd Ag
1 1 2 1
Direct
0.000 0.000 0.000 H
0.000 0.000 0.500 Au
0.000 0.500 0.000 Pd
0.500 0.000 0.000 Pd
0.500 0.500 0.500 Ag
```

***

No. 4
Compound: Ag2HPdAu
Source: Alexandria via LeMat-Bulk
Functional: PBE
Structure: relaxed

Properties
- Uncorrected energy: -11.55 eV per cell
- Excess energy over the best structure of this formula in the dataset: 1216.0 meV per atom

Cell and atoms, written as POSCAR:
```
Ag2HPdAu
1.0
-3.939 2.692 -2.053
-3.280 -2.555 2.942
0.525 3.597 3.710
H Au Pd Ag
1 1 1 2
Direct
0.500 0.500 0.500 H
0.000 0.000 0.000 Au
0.000 0.500 0.000 Pd
0.000 0.000 0.500 Ag
0.500 0.000 0.000 Ag
```

***

No. 5
Compound: Ag2HPdAu
Source: Alexandria via LeMat-Bulk
Functional: PBE
Structure: relaxed

Properties
- Uncorrected energy: -17.63 eV per cell
- Excess energy over the best structure of this formula in the dataset: 0.0 meV per atom

Cell and atoms, written as POSCAR:
```
Ag2HPdAu
1.0
4.379 0.000 0.000
0.000 4.379 0.000
0.000 0.000 3.758
H Au Pd Ag
1 1 1 2
Direct
0.000 0.000 0.000 H
0.500 0.500 0.500 Au
0.000 0.000 0.500 Pd
0.000 0.500 0.000 Ag
0.500 0.000 0.000 Ag
```

***

No. 6
Compound: AgHPdAu2
Source: Alexandria via LeMat-Bulk
Functional: PBE
Structure: relaxed

Properties
- Uncorrected energy: -17.87 eV per cell
- Excess energy over the best structure of this formula in the dataset: 0.0 meV per atom

Cell and atoms, written as POSCAR:
```
AgHPdAu2
1.0
4.358 0.000 0.000
0.000 4.358 0.000
0.000 0.000 3.799
H Au Pd Ag
1 2 1 1
Direct
0.000 0.000 0.000 H
0.000 0.500 0.000 Au
0.500 0.000 0.000 Au
0.000 0.000 0.500 Pd
0.500 0.500 0.500 Ag
```

***

No. 7
Compound: Ag2HPtAu
Source: Alexandria via LeMat-Bulk
Functional: PBE
Structure: relaxed

Properties
- Uncorrected energy: -18.19 eV per cell

Cell and atoms, written as POSCAR:
```
Ag2HPtAu
1.0
4.359 0.000 0.000
0.000 4.359 0.000
0.000 0.000 3.792
H Au Ag Pt
1 1 2 1
Direct
0.000 0.000 0.000 H
0.500 0.500 0.500 Au
0.000 0.500 0.000 Ag
0.500 0.000 0.000 Ag
0.000 0.000 0.500 Pt
```

***

No. 8
Compound: AgHPtAu2
Source: Alexandria via LeMat-Bulk
Functional: PBE
Structure: relaxed

Properties
- Uncorrected energy: -18.48 eV per cell

Cell and atoms, written as POSCAR:
```
AgHPtAu2
1.0
-3.625 -1.921 -1.823
2.080 -0.153 -3.975
1.324 -3.277 0.820
H Au Ag Pt
1 2 1 1
Direct
0.000 0.000 0.000 H
0.000 0.500 0.000 Au
0.500 0.000 0.000 Au
0.500 0.500 0.500 Ag
0.000 0.000 0.500 Pt
```

***

No. 9
Compound: AgHPt2Au
Source: Alexandria via LeMat-Bulk
Functional: PBE
Structure: relaxed

Properties
- Uncorrected energy: -21.15 eV per cell
- Excess energy over the best structure of this formula in the dataset: 25.5 meV per atom

Cell and atoms, written as POSCAR:
```
AgHPt2Au
1.0
-2.503 0.343 3.101
-3.371 -0.928 -2.619
0.453 -3.893 0.797
H Au Ag Pt
1 1 1 2
Direct
0.000 0.000 0.000 H
0.000 0.500 0.000 Au
0.500 0.500 0.500 Ag
0.000 0.000 0.500 Pt
0.500 0.000 0.000 Pt
```

***

No. 10
Compound: AgHPt2Au
Source: Alexandria via LeMat-Bulk
Functional: PBE
Structure: relaxed

Properties
- Uncorrected energy: -21.28 eV per cell
- Excess energy over the best structure of this formula in the dataset: 0.0 meV per atom

Cell and atoms, written as POSCAR:
```
AgHPt2Au
1.0
-1.572 -0.986 -3.545
-3.179 -1.578 1.849
-2.017 3.855 -0.177
H Au Ag Pt
1 1 1 2
Direct
0.000 0.000 0.000 H
0.500 0.500 0.500 Au
0.000 0.000 0.500 Ag
0.000 0.500 0.000 Pt
0.500 0.000 0.000 Pt
```

***

No. 11
Compound: Rb2AgHAu
Source: Alexandria via LeMat-Bulk
Functional: PBE
Structure: relaxed

Properties
- Uncorrected energy: -11.73 eV per cell

Cell and atoms, written as POSCAR:
```
Rb2AgHAu
1.0
6.060 0.000 0.000
0.000 6.060 0.000
0.000 0.000 3.925
H Au Rb Ag
1 1 2 1
Direct
0.000 0.000 0.000 H
0.500 0.500 0.500 Au
0.000 0.500 0.000 Rb
0.500 0.000 0.000 Rb
0.000 0.000 0.500 Ag
```

***

No. 12
Compound: Rb2AgHAu
Source: Alexandria via LeMat-Bulk
Functional: PBE
Structure: relaxed

Properties
- Uncorrected energy: -11.72 eV per cell

Cell and atoms, written as POSCAR:
```
Rb2AgHAu
1.0
6.211 0.000 0.000
0.000 6.211 0.000
0.000 0.000 3.788
H Au Rb Ag
1 1 2 1
Direct
0.000 0.000 0.000 H
0.000 0.000 0.500 Au
0.000 0.500 0.000 Rb
0.500 0.000 0.000 Rb
0.500 0.500 0.500 Ag
```

***

No. 13
Compound: Rb2AgH4Au
Source: Alexandria via LeMat-Bulk
Functional: PBE
Structure: relaxed

Properties
- Uncorrected energy: -44.35 eV per cell

Cell and atoms, written as POSCAR:
```
Rb2AgH4Au
1.0
-5.300 -0.145 -0.277
-2.462 -6.012 -0.628
-3.178 -0.958 10.413
Rb Ag H Au
4 2 8 2
Direct
0.173 0.000 0.653 Rb
0.827 0.000 0.347 Rb
0.577 0.500 0.847 Rb
0.923 0.500 0.153 Rb
0.750 0.500 0.500 Ag
0.000 0.000 0.000 Ag
0.311 0.829 0.089 H
0.229 0.171 0.911 H
0.860 0.829 0.911 H
0.600 0.171 0.089 H
0.439 0.671 0.411 H
0.521 0.329 0.589 H
0.890 0.671 0.589 H
0.150 0.329 0.411 H
0.250 0.500 0.500 Au
0.500 0.000 0.000 Au
```

***

No. 14
Compound: Rb8AgHAu2
Source: Alexandria via LeMat-Bulk
Functional: PBE
Structure: relaxed

Properties
- Uncorrected energy: -21.26 eV per cell

Cell and atoms, written as POSCAR:
```
Rb8AgHAu2
1.0
-6.801 -3.357 -3.896
4.642 -4.143 -5.381
0.303 -6.989 5.572
Rb Ag H Au
8 1 1 2
Direct
0.166 0.748 0.226 Rb
0.714 0.801 0.999 Rb
0.832 0.253 0.224 Rb
0.834 0.252 0.774 Rb
0.286 0.199 0.001 Rb
0.168 0.747 0.776 Rb
0.642 0.722 0.500 Rb
0.358 0.278 0.500 Rb
0.000 0.000 0.500 Ag
0.000 0.000 0.000 H
0.501 0.499 0.839 Au
0.499 0.501 0.161 Au
```

***

No. 15
Compound: Ag2H6RhAu
Source: Alexandria via LeMat-Bulk
Functional: PBE
Structure: relaxed

Properties
- Uncorrected energy: -35.71 eV per cell

Cell and atoms, written as POSCAR:
```
Ag2H6RhAu
1.0
5.943 -1.365 0.953
-1.607 4.686 -1.033
3.043 0.806 4.547
Ag H Rh Au
2 6 1 1
Direct
0.657 0.324 0.339 Ag
0.343 0.676 0.661 Ag
0.174 0.202 0.654 H
0.948 0.680 0.808 H
0.354 0.066 0.900 H
0.646 0.934 0.100 H
0.052 0.320 0.192 H
0.826 0.798 0.346 H
0.000 0.000 0.000 Rh
0.500 0.500 0.000 Au
```

***

No. 16
Compound: AgHRu2Au
Source: Alexandria via LeMat-Bulk
Functional: PBE
Structure: relaxed

Properties
- Uncorrected energy: -25.65 eV per cell

Cell and atoms, written as POSCAR:
```
AgHRu2Au
1.0
3.908 0.000 0.000
0.000 4.378 0.000
0.000 0.000 3.908
Ru Au Ag H
2 1 1 1
Direct
0.000 0.000 0.500 Ru
0.500 0.000 0.000 Ru
0.000 0.500 0.000 Au
0.500 0.500 0.500 Ag
0.000 0.000 0.000 H
```

***

No. 17
Compound: Ag2SbHAu
Source: Alexandria via LeMat-Bulk
Functional: PBE
Structure: relaxed

Properties
- Uncorrected energy: -15.36 eV per cell

Cell and atoms, written as POSCAR:
```
Ag2SbHAu
1.0
-4.442 0.856 -0.669
-1.044 -2.580 3.629
0.266 3.235 2.376
Sb Au Ag H
1 1 2 1
Direct
0.500 0.500 0.500 Sb
0.000 0.000 0.500 Au
0.000 0.500 0.000 Ag
0.500 0.000 0.000 Ag
0.000 0.000 0.000 H
```

***

No. 18
Compound: AgH2AuSe
Source: Alexandria via LeMat-Bulk
Functional: PBE
Structure: relaxed

Properties
- Uncorrected energy: -15.43 eV per cell

Cell and atoms, written as POSCAR:
```
AgH2AuSe
1.0
3.696 0.000 0.000
0.000 5.594 0.000
0.000 0.000 3.696
H Au Se Ag
2 1 1 1
Direct
0.000 0.000 0.500 H
0.500 0.000 0.000 H
0.000 0.000 0.000 Au
0.000 0.500 0.000 Se
0.500 0.500 0.500 Ag
```

***

No. 19
Compound: Sr2AgH6Au
Source: Alexandria via LeMat-Bulk
Functional: PBE
Structure: relaxed

Properties
- Uncorrected energy: -32.25 eV per cell

Cell and atoms, written as POSCAR:
```
Sr2AgH6Au
1.0
5.408 -0.067 -0.002
-0.067 5.408 0.002
-2.672 -2.669 4.496
Sr Ag H Au
2 1 6 1
Direct
0.783 0.284 0.567 Sr
0.283 0.784 0.567 Sr
0.534 0.534 0.067 Ag
0.751 0.752 0.940 H
0.733 0.733 0.465 H
0.189 0.189 0.940 H
0.690 0.237 0.927 H
0.246 0.246 0.491 H
0.237 0.690 0.926 H
0.053 0.055 0.107 Au
```

***

No. 20
Compound: Ag2TeHAu
Source: Alexandria via LeMat-Bulk
Functional: PBE
Structure: relaxed

Properties
- Uncorrected energy: -14.50 eV per cell

Cell and atoms, written as POSCAR:
```
Ag2TeHAu
1.0
4.863 0.000 0.000
0.000 4.863 0.000
0.000 0.000 3.756
H Te Au Ag
1 1 1 2
Direct
0.000 0.000 0.000 H
0.500 0.500 0.500 Te
0.000 0.000 0.500 Au
0.000 0.500 0.000 Ag
0.500 0.000 0.000 Ag
```